No. 1
Zr3Sb: relaxed, PBE-GGA.

## Properties
- symmetry = P6_3/mmc, No. 194

Unit cell a=6.3182 b=6.3182 c=10.2930 alpha=90.00 beta=90.00 gamma=120.00
Closest atoms and distances in Å follow each position.
Fractional coordinates of all 16 atoms:
Sb1 0.3333 0.6667 0.2500  12 Zr 3.15-3.16
Sb2 0.0000 0.0000 0.0000  12 Zr 3.15-3.16
Zr1 0.8332 0.6664 0.2500  8 Zr 3.15-3.16, 4 Sb 3.15-3.16
Zr2 0.1668 0.8332 0.7500  8 Zr 3.15-3.16, 4 Sb 3.15-3.16
Zr3 0.5000 0.0000 0.5000  8 Zr 3.15-3.16, 4 Sb 3.15-3.16
Zr4 0.5000 0.5000 0.5000  8 Zr 3.15-3.16, 4 Sb 3.15-3.16
Zr5 0.3336 0.1668 0.2500  8 Zr 3.15-3.16, 4 Sb 3.15-3.16
Zr6 0.8332 0.1668 0.2500  8 Zr 3.15-3.16, 4 Sb 3.15-3.16
Zr7 0.6664 0.8332 0.7500  8 Zr 3.15-3.16, 4 Sb 3.15-3.16
Sb3 0.6667 0.3333 0.7500  12 Zr 3.15-3.16
Zr8 0.0000 0.5000 0.0000  8 Zr 3.15-3.16, 4 Sb 3.15-3.16
Zr9 0.5000 0.5000 0.0000  8 Zr 3.15-3.16, 4 Sb 3.15-3.16
Zr10 0.1668 0.3336 0.7500  8 Zr 3.15-3.16, 4 Sb 3.15-3.16
Zr11 0.0000 0.5000 0.5000  8 Zr 3.15-3.16, 4 Sb 3.15-3.16
Sb4 0.0000 0.0000 0.5000  12 Zr 3.15-3.16
Zr12 0.5000 0.0000 0.0000  8 Zr 3.15-3.16, 4 Sb 3.15-3.16

***

No. 2
ZrSb: relaxed, PBE-GGA.

## Properties
- symmetry = Cmme, No. 67

Unit cell a=3.1615 b=3.1615 c=10.8694 alpha=90.00 beta=90.00 gamma=97.15
Closest atoms and distances in Å follow each position.
Fractional coordinates of all 4 atoms:
Sb1 0.5000 0.5000 0.6944  4 Zr 3.10-3.30, 4 Sb 3.16
Sb2 0.0000 0.0000 0.0556  4 Zr 3.10-3.30, 4 Sb 3.16
Zr1 0.0000 0.0000 0.4834  4 Sb 3.10-3.30, 8 Zr 3.15-3.34
Zr2 0.5000 0.5000 0.2666  4 Sb 3.10-3.30, 8 Zr 3.15-3.34

***

No. 3
Zr3Sb: relaxed, PBE-GGA.

## Properties
- symmetry = Pnma, No. 62

Unit cell a=5.8897 b=6.8565 c=9.2260 alpha=90.00 beta=90.00 gamma=90.00
Closest atoms and distances in Å follow each position.
Fractional coordinates of all 16 atoms:
Zr1 0.8788 0.7073 0.9692  3 Sb 2.91-3.01, 4 Zr 3.06-3.23
Sb1 0.1046 0.5970 0.2500  9 Zr 2.91-3.17
Zr2 0.1212 0.2927 0.4692  3 Sb 2.91-3.01, 4 Zr 3.06-3.23
Zr3 0.8732 0.9822 0.2500  3 Sb 2.92-3.17, 2 Zr 3.20
Zr4 0.1212 0.2927 0.0308  3 Sb 2.91-3.01, 4 Zr 3.06-3.23
Zr5 0.6212 0.2073 0.5308  3 Sb 2.91-3.01, 4 Zr 3.06-3.23
Sb2 0.6046 0.9030 0.7500  9 Zr 2.91-3.17
Sb3 0.8954 0.4030 0.7500  9 Zr 2.91-3.17
Zr6 0.3788 0.7927 0.4692  3 Sb 2.91-3.01, 4 Zr 3.06-3.23
Zr7 0.6268 0.4822 0.2500  3 Sb 2.92-3.17, 2 Zr 3.20
Zr8 0.3732 0.5178 0.7500  3 Sb 2.92-3.17, 2 Zr 3.20
Zr9 0.8788 0.7073 0.5308  3 Sb 2.91-3.01, 4 Zr 3.06-3.23
Zr10 0.6212 0.2073 0.9692  3 Sb 2.91-3.01, 4 Zr 3.06-3.23
Sb4 0.3954 0.0970 0.2500  9 Zr 2.91-3.17
Zr11 0.1268 0.0178 0.7500  3 Sb 2.92-3.17, 2 Zr 3.20
Zr12 0.3788 0.7927 0.0308  3 Sb 2.91-3.01, 4 Zr 3.06-3.23

***

No. 4
Zr3Sb: relaxed, PBE-GGA.

## Properties
- symmetry = Pm-3m, No. 221

Unit cell a=5.3996 b=5.3996 c=5.3996 alpha=90.00 beta=90.00 gamma=90.00
Closest atoms and distances in Å follow each position.
Fractional coordinates of all 4 atoms:
Zr1 0.0000 0.0000 0.5000  2 Sb 2.70
Sb1 0.0000 0.0000 0.0000  6 Zr 2.70
Zr2 0.0000 0.5000 0.0000  2 Sb 2.70
Zr3 0.5000 0.0000 0.0000  2 Sb 2.70

***

No. 5
ZrSb3: relaxed, PBE-GGA.

## Properties
- symmetry = R-3m, No. 166
- polymorph energy (0 for the lowest one) (eV/f.u.) = 0.79

Unit cell a=10.5994 b=10.5994 c=10.5994 alpha=18.22 beta=18.22 gamma=18.22
Closest atoms and distances in Å follow each position.
Fractional coordinates of all 4 atoms:
Sb1 0.2577 0.2577 0.2577  3 Zr 3.06, 6 Sb 3.36
Zr1 0.0000 0.0000 0.0000  6 Sb 3.06, 6 Zr 3.36
Sb2 0.5000 0.5000 0.5000  12 Sb 3.36-3.44
Sb3 0.7423 0.7423 0.7423  3 Zr 3.06, 6 Sb 3.36

***

No. 6
ZrSb3: relaxed, PBE-GGA.

## Properties
- symmetry = C2/m, No. 12
- polymorph energy (0 for the lowest one) (eV/f.u.) = 0.68

Unit cell a=5.5877 b=5.5877 c=5.2990 alpha=82.93 beta=82.93 gamma=38.35
Closest atoms and distances in Å follow each position.
Fractional coordinates of all 4 atoms:
Sb1 0.7269 0.7269 0.7810  3 Sb 2.98-3.05, 3 Zr 3.12-3.24
Sb2 0.5000 0.5000 0.5000  2 Sb 2.98, 4 Zr 3.22
Sb3 0.2731 0.2731 0.2190  3 Sb 2.98-3.05, 3 Zr 3.12-3.24
Zr1 0.0000 0.0000 0.0000  10 Sb 3.12-3.24

***

No. 7
Zr4Sb5: relaxed, PBE-GGA.

## Properties
- symmetry = P6_3/mcm, No. 193
- polymorph energy (0 for the lowest one) (eV/f.u.) = 0.00

Unit cell a=9.0370 b=9.0370 c=5.9804 alpha=90.00 beta=90.00 gamma=120.00
Closest atoms and distances in Å follow each position.
Fractional coordinates of all 18 atoms:
Sb1 0.2853 0.0000 0.7500  7 Zr 2.98-3.10
Sb2 0.6667 0.3333 0.0000  2 Sb 2.99, 6 Zr 3.21
Sb3 0.2853 0.2853 0.2500  7 Zr 2.98-3.10
Zr1 0.3756 0.0000 0.2500  9 Sb 3.06-3.21
Zr2 0.6244 0.0000 0.7500  9 Sb 3.06-3.21
Sb4 0.0000 0.2853 0.7500  7 Zr 2.98-3.10
Zr3 0.3756 0.3756 0.7500  9 Sb 3.06-3.21
Zr4 0.0000 0.6244 0.7500  9 Sb 3.06-3.21
Zr5 0.0000 0.0000 0.5000  6 Sb 2.98, 2 Zr 2.99
Zr6 0.0000 0.0000 0.0000  6 Sb 2.98, 2 Zr 2.99
Sb5 0.0000 0.7147 0.2500  7 Zr 2.98-3.10
Sb6 0.7147 0.7147 0.7500  7 Zr 2.98-3.10
Zr7 0.6244 0.6244 0.2500  9 Sb 3.06-3.21
Sb7 0.3333 0.6667 0.0000  2 Sb 2.99, 6 Zr 3.21
Sb8 0.6667 0.3333 0.5000  2 Sb 2.99, 6 Zr 3.21
Sb9 0.7147 0.0000 0.2500  7 Zr 2.98-3.10
Zr8 0.0000 0.3756 0.2500  9 Sb 3.06-3.21
Sb10 0.3333 0.6667 0.5000  2 Sb 2.99, 6 Zr 3.21

***

No. 8
Zr3Sb: relaxed, PBE-GGA.

## Properties
- symmetry = P4/mmm, No. 123

Unit cell a=3.7381 b=3.7381 c=6.4405 alpha=90.00 beta=90.00 gamma=90.00
Closest atoms and distances in Å follow each position.
Fractional coordinates of all 4 atoms:
Zr1 0.5000 0.5000 0.2383  4 Sb 3.06, 6 Zr 3.07-3.37
Sb1 0.0000 0.0000 0.0000  10 Zr 3.06-3.22
Zr2 0.0000 0.0000 0.5000  8 Zr 3.13, 2 Sb 3.22
Zr3 0.5000 0.5000 0.7617  4 Sb 3.06, 6 Zr 3.07-3.37

***

Number 1: E_form (uncorrected) -0.406 eV per atom, calculated volume 22.240 Å³ per atom. Number 2: E_form (uncorrected) -0.262 eV per atom, calculated volume 26.948 Å³ per atom. Number 3: E_form (uncorrected) -0.443 eV per atom, calculated volume 23.286 Å³ per atom. Number 4: E_form (uncorrected) 1.410 eV per atom, calculated volume 39.358 Å³ per atom. Number 5: E_form (uncorrected) -0.096 eV per atom, calculated volume 25.428 Å³ per atom. Number 6: E_form (uncorrected) -0.124 eV per atom, calculated volume 25.443 Å³ per atom. Number 7: E_form (uncorrected) -0.485 eV per atom, calculated volume 23.499 Å³ per atom. Number 8: E_form (uncorrected) -0.430 eV per atom, calculated volume 22.499 Å³ per atom.